# 1
Below is CsY2Cl7 after structural relaxation, with properties calculated at the PBE level.

Computed properties:
E_form (uncorrected) = -2.2729 eV/atom
electronic total energy = -197.75 eV/cell
offset from the most stable computed form = 0.000 eV per formula unit
N(E_F) = 0.0 states/eV/f.u.

Cell lengths 7.0343, 12.7544, 14.3835 Å; angles 90.00, 90.00, 90.00 degrees
With the nearest neighbours (Å) after each atom.
Element x y z (fractional)
Cs 0.2500 0.7934 0.0315  10 Cl 3.70-3.77
Cs 0.7500 0.2066 0.9685  10 Cl 3.70-3.77
Cs 0.7500 0.2934 0.4685  10 Cl 3.70-3.77
Cs 0.2500 0.7066 0.5315  10 Cl 3.70-3.77
Y 0.2500 0.4481 0.2434  7 Cl 2.72-2.77
Y 0.7500 0.5519 0.7566  7 Cl 2.72-2.77
Y 0.7500 0.9481 0.2566  7 Cl 2.72-2.77
Y 0.2500 0.0519 0.7434  7 Cl 2.72-2.77
Y 0.2500 0.1444 0.2470  7 Cl 2.71-2.76
Y 0.7500 0.8556 0.7530  7 Cl 2.71-2.76
Y 0.7500 0.6444 0.2530  7 Cl 2.71-2.76
Y 0.2500 0.3556 0.7470  7 Cl 2.71-2.76
Cl 0.0117 0.2957 0.1808  2 Y 2.72-2.73
Cl 0.9883 0.7043 0.8192  2 Y 2.72-2.73
Cl 0.9883 0.7957 0.3192  2 Y 2.72-2.73
Cl 0.5117 0.7043 0.8192  2 Y 2.72-2.73
Cl 0.0117 0.2043 0.6808  2 Y 2.72-2.73
Cl 0.4883 0.2957 0.1808  2 Y 2.72-2.73
Cl 0.4883 0.2043 0.6808  2 Y 2.72-2.73
Cl 0.5117 0.7957 0.3192  2 Y 2.72-2.73
Cl 0.0102 0.5633 0.1346  2 Y 2.71-2.73
Cl 0.9898 0.4367 0.8654  2 Y 2.71-2.73
Cl 0.9898 0.0633 0.3654  2 Y 2.71-2.73
Cl 0.5102 0.4367 0.8654  2 Y 2.71-2.73
Cl 0.0102 0.9367 0.6346  2 Y 2.71-2.73
Cl 0.4898 0.5633 0.1346  2 Y 2.71-2.73
Cl 0.4898 0.9367 0.6346  2 Y 2.71-2.73
Cl 0.5102 0.0633 0.3654  2 Y 2.71-2.73
Cl 0.0097 0.0295 0.1360  2 Y 2.72-2.75
Cl 0.9903 0.9705 0.8640  2 Y 2.72-2.75
Cl 0.9903 0.5295 0.3640  2 Y 2.72-2.75
Cl 0.5097 0.9705 0.8640  2 Y 2.72-2.75
Cl 0.0097 0.4705 0.6360  2 Y 2.72-2.75
Cl 0.4903 0.0295 0.1360  2 Y 2.72-2.75
Cl 0.4903 0.4705 0.6360  2 Y 2.72-2.75
Cl 0.5097 0.5295 0.3640  2 Y 2.72-2.75
Cl 0.2500 0.2973 0.3824  2 Y 2.76-2.77
Cl 0.7500 0.7027 0.6176  2 Y 2.76-2.77
Cl 0.7500 0.7973 0.1176  2 Y 2.76-2.77
Cl 0.2500 0.2027 0.8824  2 Y 2.76-2.77

---

# 2
Below is CsY2Cl7 after structural relaxation, with properties calculated at the PBE level.

Computed properties:
E_form (uncorrected) = -2.2374 eV/atom
electronic total energy = -49.08 eV/cell
offset from the most stable computed form = 0.355 eV per formula unit
N(E_F) = 0.0 states/eV/f.u.

Cell lengths 5.3410, 8.1487, 8.1487 Å; angles 117.09, 90.00, 90.00 degrees
With the nearest neighbours (Å) after each atom.
Element x y z (fractional)
Cs 0.0000 0.0000 0.0000  8 Cl 3.69
Y 0.5000 0.6959 0.3041  7 Cl 2.67-2.76
Y 0.5000 0.3041 0.6959  7 Cl 2.67-2.76
Cl 0.0000 0.7026 0.2974  2 Y 2.67
Cl 0.0000 0.2974 0.7026  2 Y 2.67
Cl 0.5000 0.0460 0.3304  2 Y 2.75-2.76
Cl 0.5000 0.9540 0.6696  2 Y 2.75-2.76
Cl 0.5000 0.3304 0.0460  2 Y 2.75-2.76
Cl 0.5000 0.6696 0.9540  2 Y 2.75-2.76
Cl 0.5000 0.5000 0.5000  2 Y 2.72

---

# 3
Below is CsY3Cl after structural relaxation, with properties calculated at the PBE level.

Computed properties:
E_form (uncorrected) = 1.2605 eV/atom
electronic total energy = -15.79 eV/cell
offset from the most stable computed form = 5.866 eV per formula unit
N(E_F) = 6.2 states/eV/f.u.

Cell lengths 5.7746, 5.7746, 5.7746 Å; angles 90.00, 90.00, 90.00 degrees
With the nearest neighbours (Å) after each atom.
Element x y z (fractional)
Cs 0.0000 0.0000 0.0000  6 Y 2.89
Y 0.0000 0.5000 0.0000  2 Cs 2.89
Y 0.0000 0.0000 0.5000  2 Cs 2.89
Y 0.5000 0.0000 0.0000  2 Cs 2.89
Cl 0.5000 0.5000 0.5000  12 Y 4.08

---

# 4
Below is CsYZnCl6 after structural relaxation, with properties calculated at the PBE level.

Computed properties:
E_form (uncorrected) = -1.8462 eV/atom
electronic total energy = -36.29 eV/cell
N(E_F) = 0.0 states/eV/f.u.

Cell lengths 6.7725, 6.7725, 7.7899 Å; angles 90.01, 89.99, 60.00 degrees
With the nearest neighbours (Å) after each atom.
Element x y z (fractional)
Cs 0.0000 0.0000 0.0000  6 Cl 3.53
Y 0.3333 0.3334 0.5000  6 Cl 2.66
Zn 0.6666 0.6667 0.5000  6 Cl 2.51
Cl 0.9832 0.3878 0.3101  1 Zn 2.51, 1 Y 2.66
Cl 0.3878 0.9832 0.6899  1 Zn 2.51, 1 Y 2.66
Cl 0.6289 0.3879 0.6900  1 Zn 2.51, 1 Y 2.66
Cl 0.9832 0.6290 0.6900  1 Zn 2.51, 1 Y 2.66
Cl 0.3878 0.6289 0.3100  1 Zn 2.51, 1 Y 2.66
Cl 0.6290 0.9832 0.3100  1 Zn 2.51, 1 Y 2.66